[1]
DFT (PBE) results for a relaxed ScBi2S4 crystal.

## Properties
Symmetry ... Cmcm, No. 63
Magnetization ... 0.00 μB per formula unit
ΔE_f (raw) ... -0.7436 eV per atom
Excess energy over the best structure of this formula in the dataset ... 3.81 kJ/mol of atoms

abc: 7.4603 7.4603 12.8951
angles: 90.00 90.00 152.07
Last column: nearest neighbours and their distance in Å.
Positions (direct):
Sc1 0.1157 0.8843 0.7500  6 S 2.59-2.68
Sc2 0.8843 0.1157 0.2500  6 S 2.59-2.68
Bi1 0.3695 0.6305 0.5743  4 S 2.77-2.83
Bi2 0.3695 0.6305 0.9257  4 S 2.77-2.83
Bi3 0.6305 0.3695 0.0743  4 S 2.77-2.83
Bi4 0.6305 0.3695 0.4257  4 S 2.77-2.83
S1 0.0000 0.0000 0.0000  4 Bi 2.78
S2 0.0000 0.0000 0.5000  4 Bi 2.78
S3 0.3026 0.6974 0.1267  2 Sc 2.68, 1 Bi 2.77
S4 0.3026 0.6974 0.3733  2 Sc 2.68, 1 Bi 2.77
S5 0.4871 0.5129 0.7500  2 Sc 2.59, 2 Bi 2.83
S6 0.5129 0.4871 0.2500  2 Sc 2.59, 2 Bi 2.83
S7 0.6974 0.3026 0.6267  2 Sc 2.68, 1 Bi 2.77
S8 0.6974 0.3026 0.8733  2 Sc 2.68, 1 Bi 2.77

[2]
DFT (PBE) results for a relaxed ScBi2S6 crystal.

## Properties
Symmetry ... P4_2/mnm, No. 136
Magnetization ... 0.00 μB per formula unit
ΔE_f (raw) ... -0.3575 eV per atom

abc: 6.1308 6.1308 12.4968
angles: 90.00 90.00 90.00
Last column: nearest neighbours and their distance in Å.
Positions (direct):
Sc1 0.0000 0.0000 0.0000  6 S 2.56
Sc2 0.5000 0.5000 0.5000  6 S 2.56
Bi1 0.0000 0.0000 0.3371  6 S 2.70-2.74
Bi2 0.0000 0.0000 0.6629  6 S 2.70-2.74
Bi3 0.5000 0.5000 0.1629  6 S 2.70-2.74
Bi4 0.5000 0.5000 0.8371  6 S 2.70-2.74
S1 0.1853 0.1853 0.1597  1 Sc 2.56, 2 Bi 2.73-2.74
S2 0.1853 0.1853 0.8403  1 Sc 2.56, 2 Bi 2.73-2.74
S3 0.2053 0.2053 0.5000  1 Sc 2.56, 2 Bi 2.70
S4 0.2947 0.7053 0.0000  1 Sc 2.56, 2 Bi 2.70
S5 0.3147 0.6853 0.3403  1 Sc 2.56, 2 Bi 2.73-2.74
S6 0.3147 0.6853 0.6597  1 Sc 2.56, 2 Bi 2.73-2.74
S7 0.6853 0.3147 0.3403  1 Sc 2.56, 2 Bi 2.73-2.74
S8 0.6853 0.3147 0.6597  1 Sc 2.56, 2 Bi 2.73-2.74
S9 0.7053 0.2947 0.0000  1 Sc 2.56, 2 Bi 2.70
S10 0.7947 0.7947 0.5000  1 Sc 2.56, 2 Bi 2.70
S11 0.8147 0.8147 0.1597  1 Sc 2.56, 2 Bi 2.73-2.74
S12 0.8147 0.8147 0.8403  1 Sc 2.56, 2 Bi 2.73-2.74

[3]
DFT (PBE) results for a relaxed ScBi2S2 crystal.

## Properties
Symmetry ... P4/mbm, No. 127
Magnetization ... 0.00 μB per formula unit
ΔE_f (raw) ... -0.1244 eV per atom
Excess energy over the best structure of this formula in the dataset ... 0.00 kJ/mol of atoms

abc: 7.8268 7.8268 4.4047
angles: 90.00 90.00 90.00
Last column: nearest neighbours and their distance in Å.
Positions (direct):
Sc1 0.0000 0.0000 0.0000  4 Bi 2.99
Sc2 0.5000 0.5000 0.0000  4 Bi 2.99
Bi1 0.1470 0.3530 0.0000  2 S 2.73, 2 Sc 2.99
Bi2 0.3530 0.8530 0.0000  2 S 2.73, 2 Sc 2.99
Bi3 0.6470 0.1470 0.0000  2 S 2.73, 2 Sc 2.99
Bi4 0.8530 0.6470 0.0000  2 S 2.73, 2 Sc 2.99
S1 0.2079 0.7079 0.5000  2 Bi 2.73
S2 0.2921 0.2079 0.5000  2 Bi 2.73
S3 0.7079 0.7921 0.5000  2 Bi 2.73
S4 0.7921 0.2921 0.5000  2 Bi 2.73

[4]
DFT (PBE) results for a relaxed Sc4BiSe2S crystal.

## Properties
Symmetry ... Cmcm, No. 63
Magnetization ... 0.00 μB per formula unit
ΔE_f (raw) ... -1.2235 eV per atom

abc: 6.9720 6.9720 13.8506
angles: 90.00 90.00 146.82
Last column: nearest neighbours and their distance in Å.
Positions (direct):
Sc1 0.0000 0.0000 0.0000  4 Se 2.76
Sc2 0.0000 0.0000 0.5000  4 Se 2.76
Sc3 0.2799 0.7201 0.6141  1 S 2.44, 1 Se 2.66
Sc4 0.2799 0.7201 0.8859  1 S 2.44, 1 Se 2.66
Sc5 0.4431 0.5569 0.2500  2 S 2.45
Sc6 0.5569 0.4431 0.7500  2 S 2.45
Sc7 0.7201 0.2799 0.1141  1 S 2.44, 1 Se 2.66
Sc8 0.7201 0.2799 0.3859  1 S 2.44, 1 Se 2.66
Bi1 0.1104 0.8896 0.2500  6 Sc 2.99-3.11
Bi2 0.8896 0.1104 0.7500  6 Sc 2.99-3.11
Se1 0.3695 0.6305 0.0576  6 Sc 2.66-2.93
Se2 0.3695 0.6305 0.4424  6 Sc 2.66-2.93
Se3 0.6305 0.3695 0.5576  6 Sc 2.66-2.93
Se4 0.6305 0.3695 0.9424  6 Sc 2.66-2.93
S1 0.1636 0.8364 0.7500  4 Sc 2.44-2.45
S2 0.8364 0.1636 0.2500  4 Sc 2.44-2.45

[5]
DFT (PBE) results for a relaxed Sc4SnBiS crystal.

## Properties
Symmetry ... Cmcm, No. 63
Magnetization ... 0.00 μB per formula unit
ΔE_f (raw) ... -0.8271 eV per atom

abc: 8.3183 8.3183 6.7234
angles: 90.00 90.00 132.84
Last column: nearest neighbours and their distance in Å.
Positions (direct):
Sc1 0.0000 0.5000 0.0000  2 S 2.37
Sc2 0.0000 0.5000 0.5000  2 S 2.37
Sc3 0.0817 0.9183 0.7500  1 S 2.50
Sc4 0.4100 0.5900 0.7500  1 S 2.51
Sc5 0.5000 0.0000 0.0000  2 S 2.37
Sc6 0.5000 0.0000 0.5000  2 S 2.37
Sc7 0.5900 0.4100 0.2500  1 S 2.51
Sc8 0.9183 0.0817 0.2500  1 S 2.50
Sn1 0.1117 0.8883 0.2500  5 Sc 2.95-3.17
Sn2 0.8883 0.1117 0.7500  5 Sc 2.95-3.17
Bi1 0.3942 0.6058 0.2500  5 Sc 2.99-3.23
Bi2 0.6058 0.3942 0.7500  5 Sc 2.99-3.23
S1 0.2455 0.7545 0.7500  6 Sc 2.37-2.51
S2 0.7545 0.2455 0.2500  6 Sc 2.37-2.51

[6]
DFT (PBE) results for a relaxed Sr2Sc2Bi2S crystal.

## Properties
Symmetry ... I4/mmm, No. 139
Magnetization ... 1.11 μB per formula unit
ΔE_f (raw) ... -1.0919 eV per atom

abc: 9.2931 9.2931 9.2931
angles: 149.19 149.19 44.13
Last column: nearest neighbours and their distance in Å.
Positions (direct):
Sr1 0.1717 0.1717 0.0000  1 S 2.96
Sr2 0.8283 0.8283 0.0000  1 S 2.96
Sc1 0.0000 0.5000 0.5000  2 S 2.47
Sc2 0.5000 0.0000 0.5000  2 S 2.47
Bi1 0.3754 0.3754 0.0000  4 Sc 3.27, 5 Sr 3.51-3.58
Bi2 0.6246 0.6246 0.0000  4 Sc 3.27, 5 Sr 3.51-3.58
S1 0.0000 0.0000 0.0000  4 Sc 2.47

[7]
DFT (PBE) results for a relaxed ScTcBi2S crystal.

## Properties
Symmetry ... P4/mmm, No. 123
Magnetization ... 2.03 μB per formula unit
ΔE_f (raw) ... 1.0536 eV per atom

abc: 5.5817 5.5817 4.6851
angles: 90.00 90.00 90.00
Last column: nearest neighbours and their distance in Å.
Positions (direct):
Sc1 0.0000 0.0000 0.0000  2 Tc 2.34
Tc1 0.0000 0.0000 0.5000  2 Sc 2.34
Bi1 0.0000 0.5000 0.0000  2 Sc 2.79
Bi2 0.5000 0.0000 0.0000  2 Sc 2.79
S1 0.5000 0.5000 0.5000  8 Bi 3.64, 4 Tc 3.95

[8]
DFT (PBE) results for a relaxed ScTiBi2S crystal.

## Properties
Symmetry ... P4/mmm, No. 123
Magnetization ... 0.19 μB per formula unit
ΔE_f (raw) ... 0.3222 eV per atom

abc: 5.6578 5.6578 4.6753
angles: 90.00 90.00 90.00
Last column: nearest neighbours and their distance in Å.
Positions (direct):
Sc1 0.0000 0.0000 0.0000  2 S 2.34
Ti1 0.5000 0.5000 0.5000  8 Bi 3.67, 4 S 4.00
Bi1 0.0000 0.5000 0.0000  2 Sc 2.83
Bi2 0.5000 0.0000 0.0000  2 Sc 2.83
S1 0.0000 0.0000 0.5000  2 Sc 2.34

[9]
DFT (PBE) results for a relaxed ScTl2BiS4 crystal.

## Properties
Symmetry ... P2/m, No. 10
Magnetization ... 0.00 μB per formula unit
ΔE_f (raw) ... -0.8810 eV per atom

abc: 6.9462 3.9709 7.7864
angles: 90.00 106.89 90.00
Last column: nearest neighbours and their distance in Å.
Positions (direct):
Sc1 0.0000 0.0000 0.0000  6 S 2.64-2.66
Tl1 0.0000 0.5000 0.5000  6 S 3.15-3.16
Tl2 0.5000 0.0000 0.5000  6 S 3.30
Bi1 0.5000 0.5000 0.0000  6 S 2.82
S1 0.2133 0.5000 0.1923  2 Sc 2.66, 1 Bi 2.82
S2 0.2457 0.0000 0.7978  1 Sc 2.64, 2 Bi 2.82
S3 0.7543 0.0000 0.2022  1 Sc 2.64, 2 Bi 2.82
S4 0.7867 0.5000 0.8077  2 Sc 2.66, 1 Bi 2.82

[10]
DFT (PBE) results for a relaxed Bi3Se2S crystal.

## Properties
Symmetry ... Imm2, No. 44
Magnetization ... 0.00 μB per formula unit
ΔE_f (raw) ... -0.0580 eV per atom

abc: 7.6743 7.6743 7.6743
angles: 151.58 75.15 112.13
Last column: nearest neighbours and their distance in Å.
Positions (direct):
Bi1 0.0000 0.0000 0.0000  2 Se 2.85, 2 S 2.87
Bi2 0.3546 0.0039 0.3507  1 S 2.77, 3 Se 2.85-3.07
Bi3 0.6531 0.0039 0.6493  1 S 2.77, 3 Se 2.85-3.07
Se1 0.0484 0.2227 0.8257  4 Bi 2.85-3.07
Se2 0.3970 0.2227 0.1743  4 Bi 2.85-3.07
S1 0.7476 0.2476 0.5000  4 Bi 2.77-2.87

[11]
DFT (PBE) results for a relaxed Bi3SeS crystal.

## Properties
Symmetry ... Pm-3m, No. 221
Magnetization ... 0.00 μB per formula unit
ΔE_f (raw) ... 0.5283 eV per atom
Excess energy over the best structure of this formula in the dataset ... 0.00 kJ/mol of atoms

abc: 5.3994 5.3994 5.3994
angles: 90.00 90.00 90.00
Last column: nearest neighbours and their distance in Å.
Positions (direct):
Bi1 0.0000 0.0000 0.5000  2 S 2.70
Bi2 0.0000 0.5000 0.0000  2 S 2.70
Bi3 0.5000 0.0000 0.0000  2 S 2.70
Se1 0.5000 0.5000 0.5000  12 Bi 3.82
S1 0.0000 0.0000 0.0000  6 Bi 2.70

[12]
DFT (PBE) results for a relaxed Bi2SeS crystal.

## Properties
Symmetry ... C2/c, No. 15
Magnetization ... 0.00 μB per formula unit
ΔE_f (raw) ... -0.1765 eV per atom
Excess energy over the best structure of this formula in the dataset ... 0.00 kJ/mol of atoms

abc: 11.4910 11.4910 6.7637
angles: 101.25 101.25 138.29
Last column: nearest neighbours and their distance in Å.
Positions (direct):
Bi1 0.0710 0.4597 0.7488  3 S 2.83-2.86, 3 Se 2.84-3.07
Bi2 0.1001 0.2027 0.1776  1 S 2.75
Bi3 0.2027 0.1001 0.6776  1 S 2.75
Bi4 0.4597 0.0710 0.2488  3 S 2.83-2.86, 3 Se 2.84-3.07
Bi5 0.5403 0.9290 0.7512  3 S 2.83-2.86, 3 Se 2.84-3.07
Bi6 0.7973 0.8999 0.3224  1 S 2.75
Bi7 0.8999 0.7973 0.8224  1 S 2.75
Bi8 0.9290 0.5403 0.2512  3 S 2.83-2.86, 3 Se 2.84-3.07
Se1 0.2951 0.7049 0.2500  4 Bi 2.84-3.07
Se2 0.4075 0.5925 0.7500  2 Bi 2.91
Se3 0.5925 0.4075 0.2500  2 Bi 2.91
Se4 0.7049 0.2951 0.7500  4 Bi 2.84-3.07
S1 0.1101 0.8899 0.2500  4 Bi 2.75-2.83
S2 0.2083 0.7917 0.7500  4 Bi 2.83-2.86
S3 0.7917 0.2083 0.2500  4 Bi 2.83-2.86
S4 0.8899 0.1101 0.7500  4 Bi 2.75-2.83